1.
A relaxed structure of MnRhN3, computed with PBE.

CIF file:
```
data_MnRhN3
_cell_length_a 3.6420
_cell_length_b 3.6420
_cell_length_c 3.6420
_cell_angle_alpha 90.00
_cell_angle_beta 90.00
_cell_angle_gamma 90.00
_symmetry_space_group_name_H-M 'P m -3 m'
_symmetry_Int_Tables_number 221
_symmetry_space_group_name_Hall '-P 4 2 3'
loop_
_atom_site_label
_atom_site_fract_x
_atom_site_fract_y
_atom_site_fract_z
Mn1 0.0000 0.0000 0.0000
Rh1 0.5000 0.5000 0.5000
N1 0.0000 0.0000 0.5000
```

Calculated values
Formation energy (no corrections) = 1.14 eV per atom
Crystal system = cubic

2.
A relaxed structure of Ca2SiP, computed with PBE.

CIF file:
```
data_Ca2SiP
_cell_length_a 7.1416
_cell_length_b 7.1416
_cell_length_c 7.1416
_cell_angle_alpha 90.00
_cell_angle_beta 90.00
_cell_angle_gamma 90.00
_symmetry_space_group_name_H-M 'F m -3 m'
_symmetry_Int_Tables_number 225
_symmetry_space_group_name_Hall '-F 4 2 3'
loop_
_atom_site_label
_atom_site_fract_x
_atom_site_fract_y
_atom_site_fract_z
Ca1 0.2500 0.2500 0.2500
Si1 0.0000 0.0000 0.0000
P1 0.0000 0.0000 0.5000
```

Calculated values
Formation energy (no corrections) = -0.42 eV per atom
Crystal system = cubic
Distance to the lowest polymorph of the same formula = 135 meV/atom

3.
A relaxed structure of Y2PaAl, computed with PBE.

CIF file:
```
data_Y2PaAl
_cell_length_a 3.3938
_cell_length_b 3.3938
_cell_length_c 9.0431
_cell_angle_alpha 90.00
_cell_angle_beta 90.00
_cell_angle_gamma 90.00
_symmetry_space_group_name_H-M 'P 4/m m m'
_symmetry_Int_Tables_number 123
_symmetry_space_group_name_Hall '-P 4 2'
loop_
_atom_site_label
_atom_site_fract_x
_atom_site_fract_y
_atom_site_fract_z
Y1 0.0000 0.0000 0.2249
Pa1 0.5000 0.5000 0.5000
Al1 0.5000 0.5000 0.0000
```

Calculated values
Energy relative to the elements = -0.065 eV per atom
Crystal system = tetragonal
Distance to the lowest polymorph of the same formula = 0 meV/atom

4.
A relaxed structure of CrOsW, computed with PBE.

CIF file:
```
data_CrOsW
_cell_length_a 2.7547
_cell_length_b 3.7838
_cell_length_c 8.2317
_cell_angle_alpha 90.00
_cell_angle_beta 90.00
_cell_angle_gamma 90.00
_symmetry_space_group_name_H-M 'I m m 2'
_symmetry_Int_Tables_number 44
_symmetry_space_group_name_Hall 'I 2 -2'
loop_
_atom_site_label
_atom_site_fract_x
_atom_site_fract_y
_atom_site_fract_z
Cr1 0.0000 0.0000 0.0000
Os1 0.0000 0.0000 0.3457
W1 0.0000 0.0000 0.6720
```

Calculated values
Energy relative to the elements = 0.199 eV per atom
Crystal system = orthorhombic
Distance to the lowest polymorph of the same formula = 41 meV/atom

5.
A relaxed structure of CaFeOs, computed with PBE.

CIF file:
```
data_CaFeOs
_cell_length_a 6.0165
_cell_length_b 6.0165
_cell_length_c 6.0165
_cell_angle_alpha 90.00
_cell_angle_beta 90.00
_cell_angle_gamma 90.00
_symmetry_space_group_name_H-M 'F -4 3 m'
_symmetry_Int_Tables_number 216
_symmetry_space_group_name_Hall 'F -4 2 3'
loop_
_atom_site_label
_atom_site_fract_x
_atom_site_fract_y
_atom_site_fract_z
Ca1 0.0000 0.0000 0.0000
Fe1 0.2500 0.2500 0.7500
Os1 0.0000 0.0000 0.5000
```

Calculated values
Energy relative to the elements = 0.894 eV per atom
Crystal system = cubic
Distance to the lowest polymorph of the same formula = 757 meV/atom

6.
A relaxed structure of TbSn2Hg, computed with PBE.

CIF file:
```
data_TbSn2Hg
_cell_length_a 4.7373
_cell_length_b 4.7373
_cell_length_c 4.4846
_cell_angle_alpha 90.00
_cell_angle_beta 90.00
_cell_angle_gamma 90.00
_symmetry_space_group_name_H-M 'P 4/m m m'
_symmetry_Int_Tables_number 123
_symmetry_space_group_name_Hall '-P 4 2'
loop_
_atom_site_label
_atom_site_fract_x
_atom_site_fract_y
_atom_site_fract_z
Tb1 0.0000 0.0000 0.0000
Sn1 0.0000 0.5000 0.5000
Hg1 0.5000 0.5000 0.0000
```

Calculated values
Energy relative to the elements = -0.449 eV per atom
Crystal system = tetragonal
Distance to the lowest polymorph of the same formula = 0 meV/atom

7.
A relaxed structure of ThZn3Rh4, computed with PBE.

CIF file:
```
data_ThZn3Rh4
_cell_length_a 4.4054
_cell_length_b 4.4054
_cell_length_c 22.9292
_cell_angle_alpha 90.00
_cell_angle_beta 90.00
_cell_angle_gamma 120.00
_symmetry_space_group_name_H-M 'R -3 m'
_symmetry_Int_Tables_number 166
_symmetry_space_group_name_Hall '-R 3 2"'
loop_
_atom_site_label
_atom_site_fract_x
_atom_site_fract_y
_atom_site_fract_z
Th1 0.0000 0.0000 0.0000
Zn1 0.0000 0.0000 0.2403
Zn2 0.0000 0.0000 0.5000
Rh1 0.0000 0.0000 0.1260
Rh2 0.0000 0.0000 0.3884
```

Calculated values
Energy relative to the elements = -0.569 eV per atom
Crystal system = trigonal

8.
A relaxed structure of YHg2Rh, computed with PBE.

CIF file:
```
data_YHg2Rh
_cell_length_a 6.9589
_cell_length_b 6.9589
_cell_length_c 6.9589
_cell_angle_alpha 90.00
_cell_angle_beta 90.00
_cell_angle_gamma 90.00
_symmetry_space_group_name_H-M 'F -4 3 m'
_symmetry_Int_Tables_number 216
_symmetry_space_group_name_Hall 'F -4 2 3'
loop_
_atom_site_label
_atom_site_fract_x
_atom_site_fract_y
_atom_site_fract_z
Y1 0.0000 0.0000 0.0000
Hg1 0.0000 0.0000 0.5000
Hg2 0.2500 0.2500 0.7500
Rh1 0.2500 0.2500 0.2500
```

Calculated values
Energy relative to the elements = -0.285 eV per atom
Crystal system = cubic

9.
A relaxed structure of Hf2MgZr3N6, computed with PBE.

CIF file:
```
data_Hf2MgZr3N6
_cell_length_a 5.5566
_cell_length_b 9.6410
_cell_length_c 5.6110
_cell_angle_alpha 90.00
_cell_angle_beta 109.37
_cell_angle_gamma 90.00
_symmetry_space_group_name_H-M 'C 1 2/m 1'
_symmetry_Int_Tables_number 12
_symmetry_space_group_name_Hall '-C 2y'
loop_
_atom_site_label
_atom_site_fract_x
_atom_site_fract_y
_atom_site_fract_z
Hf1 0.0000 0.1660 0.0000
Mg1 0.0000 0.5000 0.0000
Zr1 0.0000 0.0000 0.5000
Zr2 0.0000 0.3377 0.5000
N1 0.2474 0.0000 0.2353
N2 0.2469 0.3331 0.2417
```

Calculated values
Formation energy (no corrections) = -1.63 eV per atom
Crystal system = monoclinic

10.
A relaxed structure of TmPuIrRh, computed with PBE.

CIF file:
```
data_TmPuIrRh
_cell_length_a 6.8130
_cell_length_b 6.8130
_cell_length_c 6.8130
_cell_angle_alpha 90.00
_cell_angle_beta 90.00
_cell_angle_gamma 90.00
_symmetry_space_group_name_H-M 'F -4 3 m'
_symmetry_Int_Tables_number 216
_symmetry_space_group_name_Hall 'F -4 2 3'
loop_
_atom_site_label
_atom_site_fract_x
_atom_site_fract_y
_atom_site_fract_z
Tm1 0.0000 0.0000 0.0000
Pu1 0.0000 0.0000 0.5000
Ir1 0.2500 0.2500 0.7500
Rh1 0.2500 0.2500 0.2500
```

Calculated values
Energy relative to the elements = -0.671 eV per atom
Crystal system = cubic

11.
A relaxed structure of NbPb, computed with PBE.

CIF file:
```
data_NbPb
_cell_length_a 5.7642
_cell_length_b 5.7642
_cell_length_c 5.7642
_cell_angle_alpha 90.00
_cell_angle_beta 90.00
_cell_angle_gamma 90.00
_symmetry_space_group_name_H-M 'F m -3 m'
_symmetry_Int_Tables_number 225
_symmetry_space_group_name_Hall '-F 4 2 3'
loop_
_atom_site_label
_atom_site_fract_x
_atom_site_fract_y
_atom_site_fract_z
Nb1 0.0000 0.0000 0.0000
Pb1 0.0000 0.0000 0.5000
```

Calculated values
Energy relative to the elements = 0.791 eV per atom
Crystal system = cubic
Distance to the lowest polymorph of the same formula = 546 meV/atom

12.
A relaxed structure of SrCdRe2, computed with PBE.

CIF file:
```
data_SrCdRe2
_cell_length_a 2.8292
_cell_length_b 4.6989
_cell_length_c 6.5825
_cell_angle_alpha 90.00
_cell_angle_beta 90.00
_cell_angle_gamma 90.00
_symmetry_space_group_name_H-M 'P m m m'
_symmetry_Int_Tables_number 47
_symmetry_space_group_name_Hall '-P 2 2'
loop_
_atom_site_label
_atom_site_fract_x
_atom_site_fract_y
_atom_site_fract_z
Sr1 0.0000 0.0000 0.0000
Cd1 0.0000 0.0000 0.5000
Re1 0.5000 0.5000 0.3233
```

Calculated values
Energy relative to the elements = 0.925 eV per atom
Crystal system = orthorhombic

The evaluated uncorrected energy for the records listed, in turn: -7.1580 -4.1263 -6.6069 -11.0700 -6.3375 -3.6839 -5.6496 -3.8899 -9.7202 -9.4254 -6.0980 -5.9487 eV per atom.